# FeCuMoHSe

A relaxed FeCuMoHSe crystal (GGA-PBE, Alexandria).

Computed properties:
The density comes out at 6.6 g cm⁻³. As for the total energy: -5.959 eV/atom. The calculation puts the energy above the most stable polymorph in this dataset at 0.0 meV per atom.

Structure (POSCAR):
```
FeCuMoHSe
1.0
3.295 -1.906 0.000
3.295 1.906 0.000
-2.218 0.000 5.942
Fe Cu Mo H Se
1 1 1 1 1
Direct
0.000 0.000 0.000
0.858 0.858 0.592
0.294 0.294 0.881
0.201 0.201 0.581
0.727 0.727 0.180
```

=====

# FeCuMoHSe

A relaxed FeCuMoHSe crystal (GGA-PBE, Alexandria).

Computed properties:
The density comes out at 7.2 g cm⁻³. As for the total energy: -5.766 eV/atom. The calculation puts the energy above the most stable polymorph in this dataset at 193.6 meV per atom.

Structure (POSCAR):
```
FeCuMoHSe
1.0
3.818 0.000 0.000
1.831 3.353 0.000
0.053 0.047 5.315
Fe Cu Mo H Se
1 1 1 1 1
Direct
0.000 0.000 0.000
0.048 0.046 0.509
0.339 0.340 0.855
0.861 0.863 0.729
0.664 0.662 0.207
```

=====

# Nb2FeCuH

A relaxed Nb2FeCuH crystal (GGA-PBE, Alexandria).

Computed properties:
The density comes out at 8.2 g cm⁻³. As for the total energy: -7.208 eV/atom. The calculation puts the energy above the most stable polymorph in this dataset at 0.0 meV per atom.

Structure (POSCAR):
```
Nb2FeCuH
1.0
4.105 0.000 0.000
0.000 4.105 0.000
0.000 0.000 3.684
Nb Fe Cu H
2 1 1 1
Direct
0.000 0.500 0.000
0.500 0.000 0.000
0.000 0.000 0.500
0.500 0.500 0.500
0.000 0.000 0.000
```

=====

# Nb2FeCuH

A relaxed Nb2FeCuH crystal (GGA-PBE, Alexandria).

Computed properties:
The density comes out at 8.2 g cm⁻³. As for the total energy: -7.168 eV/atom. The calculation puts the energy above the most stable polymorph in this dataset at 39.6 meV per atom.

Structure (POSCAR):
```
Nb2FeCuH
1.0
4.096 0.000 0.000
0.000 4.096 0.000
0.000 0.000 3.711
Nb Fe Cu H
2 1 1 1
Direct
0.000 0.500 0.000
0.500 0.000 0.000
0.000 0.000 0.500
0.500 0.500 0.500
0.500 0.500 0.000
```